(1)
## CsPrB2O6 (PBE)

Data for a relaxed CsPrB2O6 crystal.

a = 6.8782 Å, b = 6.8782 Å, c = 7.8725 Å
α = 105.02°, β = 105.02°, γ = 95.72°
Closest atoms and distances in Å follow each position.
Atoms (fractional coordinates):
O1 0.2926 0.5362 0.4198  1 B 1.38
O2 0.7898 0.7234 0.8549  1 B 1.37
O3 0.5844 0.0609 0.2572  1 B 1.36
O4 0.4638 0.7074 0.0802  1 B 1.38
O5 0.9391 0.4156 0.2428  1 B 1.36
O6 0.0609 0.5844 0.7572  1 B 1.36
O7 0.2102 0.2766 0.1451  1 B 1.37
O8 0.5362 0.2926 0.9198  1 B 1.38
O9 0.7234 0.7898 0.3549  1 B 1.37
O10 0.7074 0.4638 0.5802  1 B 1.38
O11 0.4156 0.9391 0.7428  1 B 1.36
O12 0.2766 0.2102 0.6451  1 B 1.37
B1 0.4081 0.1413 0.7696  3 O 1.36-1.38
B2 0.8587 0.5919 0.7304  3 O 1.36-1.38
B3 0.1413 0.4081 0.2696  3 O 1.36-1.38
B4 0.5919 0.8587 0.2304  3 O 1.36-1.38
Pr1 0.4105 0.5895 0.7500  6 O 2.42-2.52
Pr2 0.5895 0.4105 0.2500  6 O 2.42-2.52
Cs1 0.8882 0.1118 0.7500  8 O 3.06-3.33, 2 B 3.37
Cs2 0.1118 0.8882 0.2500  8 O 3.06-3.33, 2 B 3.37

The value obtained for the total magnetization is 4.08 μB/cell. Its formation energy from raw total energies is -2244 meV/atom. As for the total energy: -7.1180 eV per atom. The calculation puts the density of states at the Fermi level at 1.4 states/eV per cell.

***

(2)
## Rb2HfPOs (PBE)

Data for a relaxed Rb2HfPOs crystal.

a = 6.4226 Å, b = 4.9405 Å, c = 6.4226 Å
α = 90.00°, β = 90.00°, γ = 90.00°
Closest atoms and distances in Å follow each position.
Atoms (fractional coordinates):
Rb1 0.0000 0.0000 0.5000  2 P 3.21
Rb2 0.5000 0.0000 0.0000  2 P 3.21
Hf1 0.0000 0.5000 0.0000  2 P 2.47
Os1 0.5000 0.5000 0.5000  8 Rb 4.05
P1 0.0000 0.0000 0.0000  2 Hf 2.47

The value obtained for the total magnetization is 2.95 μB/cell. The value obtained for the energy of formation is 1414 meV per atom. Its energy above the most stable polymorph in this dataset is 0 meV/atom. As for the total energy: -4.2917 eV per atom. The calculation puts the density of states at the Fermi level at 3.4 states/eV per cell.

***

(3)
## Ce2In5Sn (PBE)

Data for a relaxed Ce2In5Sn crystal.

a = 4.6561 Å, b = 6.7056 Å, c = 13.3662 Å
α = 90.00°, β = 90.00°, γ = 90.00°
Closest atoms and distances in Å follow each position.
Atoms (fractional coordinates):
In1 0.5000 0.2621 0.3714  6 In 3.29-3.30, 4 Ce 3.34-3.36, 2 Sn 3.39
In2 0.0000 0.4889 0.7491  7 In 3.29-3.35, 4 Ce 3.34-3.35, 1 Sn 3.35
In3 0.0000 0.9889 0.7509  7 In 3.29-3.35, 4 Ce 3.34-3.35, 1 Sn 3.35
In4 0.5000 0.7621 0.1286  6 In 3.29-3.30, 4 Ce 3.34-3.36, 2 Sn 3.39
In5 0.0000 0.5111 0.2509  7 In 3.29-3.35, 4 Ce 3.34-3.35, 1 Sn 3.35
In6 0.5000 0.2379 0.8714  6 In 3.29-3.30, 4 Ce 3.34-3.36, 2 Sn 3.39
In7 0.0000 0.0000 0.0000  6 In 3.30-3.33, 4 Ce 3.34, 2 Sn 3.35
In8 0.0000 0.5000 0.5000  6 In 3.30-3.33, 4 Ce 3.34, 2 Sn 3.35
In9 0.0000 0.0111 0.2491  7 In 3.29-3.35, 4 Ce 3.34-3.35, 1 Sn 3.35
In10 0.5000 0.7379 0.6286  6 In 3.29-3.30, 4 Ce 3.34-3.36, 2 Sn 3.39
Ce1 0.5000 0.2380 0.6215  2 Sn 3.26, 10 In 3.34-3.36
Ce2 0.5000 0.7380 0.8785  2 Sn 3.26, 10 In 3.34-3.36
Ce3 0.5000 0.2620 0.1215  2 Sn 3.26, 10 In 3.34-3.36
Ce4 0.5000 0.7620 0.3785  2 Sn 3.26, 10 In 3.34-3.36
Sn1 0.0000 0.5000 0.0000  4 Ce 3.26, 8 In 3.35-3.39
Sn2 0.0000 0.0000 0.5000  4 Ce 3.26, 8 In 3.35-3.39

The value obtained for the total magnetization is 3.54 μB/cell. The value obtained for the energy of formation is -440 meV per atom. As for the total energy: -4.1357 eV per atom. The calculation puts the density of states at the Fermi level at 24.1 states/eV per cell.